VASP calculation (PBE) on a relaxed Ac2CeSmBi4 crystal.

Results
- Energy: -5.222 eV/atom
- Formation energy from the elements: -0.923 eV/atom

Cell lengths 4.7328, 8.1991, 8.1885 Å; angles 70.55, 90.00, 90.00 degrees
Site moments in Bohr magnetons follow the coordinates.
Fractional coordinates of all 8 atoms:
Bi (0.5000, 0.2676, 0.7441)  -0.01
Bi (0.0000, 0.7324, 0.7555)  -0.02
Ce (0.5000, 0.5000, 0.0000)  0.80
Ac (0.0000, 0.0000, 0.0000)  0.00
Ac (0.5000, 0.0000, 0.5000)  0.00
Bi (0.0000, 0.2676, 0.2445)  -0.02
Sm (0.0000, 0.5000, 0.5000)  0.00
Bi (0.5000, 0.7324, 0.2559)  -0.01

---

VASP calculation (PBE) on a relaxed La4HgIrO crystal.

Results
- ΔE_f (raw): -1.1146 eV per atom
- Energy: -5.948 eV/atom

Cell lengths 6.9172, 7.0187, 8.5905 Å; angles 90.00, 113.74, 90.00 degrees
Fractional coordinates of all 14 atoms:
La (0.5782, 0.2500, 0.1565)
Ir (0.1206, 0.2500, 0.2411)
Ir (0.8794, 0.7500, 0.7589)
O (0.2635, 0.7500, 0.5270)
O (0.7365, 0.2500, 0.4730)
La (0.9516, 0.2500, 0.9031)
La (0.0000, 0.5000, 0.5000)
Hg (0.3856, 0.2500, 0.7712)
La (0.5000, 0.5000, 0.5000)
La (0.4218, 0.7500, 0.8435)
Hg (0.6144, 0.7500, 0.2288)
La (0.5000, 0.0000, 0.5000)
La (0.0484, 0.7500, 0.0969)
La (0.0000, 0.0000, 0.5000)

---

VASP calculation (PBE) on a relaxed KInTe3 crystal.

Results
- ΔE_f (raw): -0.1597 eV per atom
- Energy: -2.812 eV/atom

Cell lengths 5.8251, 5.8251, 5.8251 Å; angles 90.00, 90.00, 90.00 degrees
Fractional coordinates of all 5 atoms:
Te (0.0000, 0.5000, 0.0000)
K (0.5000, 0.5000, 0.5000)
In (0.0000, 0.0000, 0.0000)
Te (0.5000, 0.0000, 0.0000)
Te (0.0000, 0.0000, 0.5000)

---

VASP calculation (PBE) on a relaxed Y4Sn2Bi crystal.

Results
- Energy: -5.532 eV/atom
- Formation energy from the elements: -0.140 eV/atom

Cell lengths 5.5638, 5.5638, 9.0103 Å; angles 72.02, 72.02, 90.00 degrees
Fractional coordinates of all 7 atoms:
Y (0.0000, 0.5000, 0.0000)
Y (0.8142, 0.8142, 0.3715)
Bi (0.0000, 0.0000, 0.0000)
Y (0.1858, 0.1858, 0.6285)
Sn (0.3733, 0.3733, 0.2533)
Y (0.5000, 0.0000, 0.0000)
Sn (0.6267, 0.6267, 0.7467)

---

VASP calculation (PBE) on a relaxed Cs2PaInTe5 crystal.

Results
- ΔE_f (raw): -0.8197 eV per atom
- Energy: -4.114 eV/atom

Cell lengths 4.5888, 11.4970, 16.0493 Å; angles 90.00, 90.00, 101.51 degrees
Site moments in Bohr magnetons follow the coordinates.
Fractional coordinates of all 18 atoms:
Te (0.6731, 0.3461, 0.5072)  -0.01
Te (0.6947, 0.3894, 0.8910)  -0.01
Te (0.3021, 0.6043, 0.6443)  -0.01
Te (0.5063, 0.0125, 0.7807)  0.00
Te (0.0623, 0.1246, 0.0387)  0.00
Cs (0.1243, 0.2486, 0.3247)  0.00
Cs (0.8757, 0.7514, 0.8247)  0.00
Te (0.3269, 0.6539, 0.0072)  -0.01
Cs (0.8744, 0.7488, 0.1895)  0.00
Cs (0.1256, 0.2512, 0.6895)  0.00
Te (0.6979, 0.3957, 0.1443)  -0.01
Te (0.4937, 0.9875, 0.2807)  0.00
Pa (0.2013, 0.4026, 0.0219)  0.19
Te (0.9377, 0.8754, 0.5387)  0.00
In (0.4340, 0.8681, 0.4260)  0.00
Pa (0.7987, 0.5974, 0.5219)  0.19
Te (0.3053, 0.6106, 0.3910)  -0.01
In (0.5660, 0.1319, 0.9260)  0.00

---

VASP calculation (PBE) on a relaxed GdThCo2 crystal.

Results
- Energy: -9.100 eV/atom
- Formation energy from the elements: -0.172 eV/atom

Cell lengths 4.4085, 4.4085, 5.4864 Å; angles 66.31, 66.31, 60.00 degrees
Site moments in Bohr magnetons follow the coordinates.
Fractional coordinates of all 4 atoms:
Gd (0.0000, 0.0000, 0.0000)  7.01
Th (0.5000, 0.5000, 0.5000)  0.01
Co (0.7880, 0.7880, 0.6361)  -0.07
Co (0.2120, 0.2120, 0.3639)  -0.07

---

VASP calculation (PBE) on a relaxed InGaPb2 crystal.

Results
- Energy: -3.170 eV/atom
- Formation energy from the elements: 0.126 eV/atom

Cell lengths 3.3704, 3.3704, 11.9307 Å; angles 81.88, 81.88, 60.00 degrees
Fractional coordinates of all 4 atoms:
Pb (0.9156, 0.9156, 0.2531)
In (0.5000, 0.5000, 0.5000)
Pb (0.0844, 0.0844, 0.7469)
Ga (0.0000, 0.0000, 0.0000)

---

VASP calculation (PBE) on a relaxed Cs2RbAuI6 crystal.

Results
- ΔE_f (raw): -0.8225 eV per atom
- Energy: -2.348 eV/atom

Cell lengths 9.0954, 9.0954, 8.9065 Å; angles 59.30, 59.30, 90.00 degrees
Fractional coordinates of all 10 atoms:
I (0.7692, 0.7692, 0.0000)
Cs (0.2500, 0.7500, 0.5000)
I (0.2308, 0.2308, 0.0000)
I (0.2189, 0.2189, 0.5622)
I (0.2308, 0.7692, 0.0000)
Rb (0.5000, 0.5000, 0.0000)
Cs (0.7500, 0.2500, 0.5000)
I (0.7692, 0.2308, 0.0000)
I (0.7811, 0.7811, 0.4378)
Au (0.0000, 0.0000, 0.0000)

---

VASP calculation (PBE) on a relaxed PrB3Ru3 crystal.

Results
- Energy: -7.707 eV/atom
- Formation energy from the elements: -0.187 eV/atom

Cell lengths 8.3821, 6.1700, 7.5088 Å; angles 91.40, 95.74, 86.20 degrees
Fractional coordinates of all 28 atoms:
Ru (0.2111, 0.3419, 0.5239)
Ru (0.8755, 0.2215, 0.1312)
Pr (0.5784, 0.9414, 0.1281)
B (0.4498, 0.3614, 0.1134)
Ru (0.7035, 0.8141, 0.7554)
Pr (0.5101, 0.4788, 0.4735)
Pr (0.9191, 0.0985, 0.5067)
B (0.2736, 0.9561, 0.9190)
Ru (0.3159, 0.6338, 0.0011)
Ru (0.3407, 0.2351, 0.8297)
B (0.0504, 0.4083, 0.2819)
Ru (0.0207, 0.9551, 0.9188)
B (0.7794, 0.1273, 0.8602)
Ru (0.6174, 0.4309, 0.9077)
Ru (0.2408, 0.1903, 0.1853)
B (0.8432, 0.6591, 0.5681)
B (0.9342, 0.8761, 0.1618)
B (0.0305, 0.5870, 0.5071)
B (0.6545, 0.3920, 0.1811)
Ru (0.4753, 0.0017, 0.5190)
B (0.2343, 0.9956, 0.4241)
B (0.5817, 0.1427, 0.7541)
Pr (0.0011, 0.4880, 0.8738)
B (0.6829, 0.8183, 0.4698)
B (0.4646, 0.7181, 0.7929)
Ru (0.1538, 0.7259, 0.2746)
Ru (0.8293, 0.6173, 0.2889)
Ru (0.2282, 0.7836, 0.6486)

---

VASP calculation (PBE) on a relaxed KBiPbBr6 crystal.

Results
- ΔE_f (raw): -1.0398 eV per atom
- Energy: -3.120 eV/atom

Cell lengths 7.6824, 7.6824, 14.4332 Å; angles 90.00, 90.00, 120.00 degrees
Fractional coordinates of all 18 atoms:
K (0.0000, 0.0000, 0.5000)
Br (0.9836, 0.3565, 0.1324)
Br (0.0164, 0.6435, 0.8676)
Br (0.6435, 0.0164, 0.3676)
Br (0.3565, 0.9836, 0.6324)
Br (0.6435, 0.6271, 0.1324)
Bi (0.3333, 0.6667, 0.7500)
Br (0.0164, 0.3729, 0.6324)
Br (0.6271, 0.6435, 0.6324)
K (0.0000, 0.0000, 0.0000)
Br (0.3729, 0.3565, 0.3676)
Br (0.3565, 0.3729, 0.8676)
Br (0.3729, 0.0164, 0.1324)
Br (0.6271, 0.9836, 0.8676)
Pb (0.6667, 0.3333, 0.7500)
Br (0.9836, 0.6271, 0.3676)
Pb (0.3333, 0.6667, 0.2500)
Bi (0.6667, 0.3333, 0.2500)

---

VASP calculation (PBE) on a relaxed Cu2AsCl crystal.

Results
- ΔE_f (raw): 0.5183 eV per atom
- Energy: -3.154 eV/atom

Cell lengths 4.5338, 4.5338, 4.5338 Å; angles 60.00, 60.00, 60.00 degrees
Site moments in Bohr magnetons follow the coordinates.
Fractional coordinates of all 4 atoms:
Cl (0.0000, 0.0000, 0.0000)  0.31
Cu (0.7500, 0.7500, 0.7500)  0.23
As (0.5000, 0.5000, 0.5000)  0.41
Cu (0.2500, 0.2500, 0.2500)  0.23

---

VASP calculation (PBE) on a relaxed RuPbCl2 crystal.

Results
- ΔE_f (raw): 0.3420 eV per atom
- Energy: -3.827 eV/atom

Cell lengths 4.9578, 4.9578, 4.9578 Å; angles 60.00, 60.00, 60.00 degrees
Site moments in Bohr magnetons follow the coordinates.
Fractional coordinates of all 4 atoms:
Ru (0.0000, 0.0000, 0.0000)  2.05
Cl (0.7500, 0.7500, 0.7500)  0.06
Pb (0.5000, 0.5000, 0.5000)  -0.06
Cl (0.2500, 0.2500, 0.2500)  0.06

---

VASP calculation (PBE) on a relaxed MnCoOs2 crystal.

Results
- Energy: -9.285 eV/atom
- Formation energy from the elements: 0.399 eV/atom

Cell lengths 4.1494, 4.1494, 4.1494 Å; angles 60.00, 60.00, 60.00 degrees
Fractional coordinates of all 4 atoms:
Os (0.7500, 0.7500, 0.7500)
Co (0.5000, 0.5000, 0.5000)
Os (0.2500, 0.2500, 0.2500)
Mn (0.0000, 0.0000, 0.0000)

---

VASP calculation (PBE) on a relaxed AsIrPd2Ru crystal.

Results
- Energy: -5.692 eV/atom
- Formation energy from the elements: 0.942 eV/atom

Cell lengths 4.5965, 4.5580, 4.5965 Å; angles 90.00, 90.00, 90.00 degrees
Site moments in Bohr magnetons follow the coordinates.
Fractional coordinates of all 5 atoms:
As (0.0000, 0.0000, 0.0000)  0.01
Ru (0.5000, 0.5000, 0.5000)  2.58
Ir (0.0000, 0.5000, 0.0000)  0.23
Pd (0.0000, 0.0000, 0.5000)  0.05
Pd (0.5000, 0.0000, 0.0000)  0.14

---

VASP calculation (PBE) on a relaxed SrPm2GeO6 crystal.

Results
- ΔE_f (raw): -2.6116 eV per atom
- Energy: -7.167 eV/atom

Cell lengths 5.3902, 5.4682, 5.4682 Å; angles 90.00, 90.00, 90.00 degrees
Fractional coordinates of all 10 atoms:
Sr (0.5369, 0.5000, 0.5000)
O (0.7396, 0.2263, 0.2263)
Pm (0.9796, 0.5000, 0.0000)
Ge (0.6126, 0.0000, 0.0000)
O (0.7396, 0.7737, 0.7737)
O (0.2783, 0.0000, 0.0000)
O (0.1014, 0.5000, 0.5000)
O (0.7396, 0.2263, 0.7737)
Pm (0.9796, 0.0000, 0.5000)
O (0.7396, 0.7737, 0.2263)

---

VASP calculation (PBE) on a relaxed YV3Re crystal.

Results
- Energy: -8.518 eV/atom
- Formation energy from the elements: 0.736 eV/atom

Cell lengths 4.6696, 4.6696, 4.6696 Å; angles 90.00, 90.00, 90.00 degrees
Site moments in Bohr magnetons follow the coordinates.
Fractional coordinates of all 5 atoms:
V (0.5000, 0.0000, 0.0000)  0.34
Y (0.5000, 0.5000, 0.5000)  0.03
V (0.0000, 0.0000, 0.5000)  0.34
V (0.0000, 0.5000, 0.0000)  0.34
Re (0.0000, 0.0000, 0.0000)  -0.07

---

VASP calculation (PBE) on a relaxed Er2Tm7In3 crystal.

Results
- Energy: -4.157 eV/atom
- Formation energy from the elements: -0.103 eV/atom

Cell lengths 3.6195, 5.4328, 17.7249 Å; angles 98.82, 90.00, 90.00 degrees
Fractional coordinates of all 12 atoms:
Tm (0.5000, 0.9101, 0.8202)
Er (0.0000, 0.1734, 0.3467)
Tm (0.5000, 0.0899, 0.1798)
Tm (0.0000, 0.4275, 0.8550)
Tm (0.0000, 0.7268, 0.4536)
In (0.5000, 0.5000, 0.0000)
In (0.5000, 0.3516, 0.7031)
In (0.5000, 0.6484, 0.2969)
Tm (0.0000, 0.2732, 0.5464)
Tm (0.0000, 0.5725, 0.1450)
Er (0.0000, 0.8266, 0.6533)
Tm (0.0000, 0.0000, 0.0000)

---

VASP calculation (PBE) on a relaxed ScFeTe2 crystal.

Results
- ΔE_f (raw): -0.2536 eV per atom
- Energy: -5.523 eV/atom

Cell lengths 4.8892, 4.8892, 3.5731 Å; angles 90.04, 90.04, 90.00 degrees
Site moments in Bohr magnetons follow the coordinates.
Fractional coordinates of all 4 atoms:
Te (0.0000, 0.0000, 0.0000)  -0.01
Te (0.5000, 0.5000, 0.0000)  -0.01
Sc (0.0000, 0.5000, 0.5000)  -0.13
Fe (0.5000, 0.0000, 0.5000)  2.79

---

VASP calculation (PBE) on a relaxed SrTlPdPb2 crystal.

Results
- Energy: -3.525 eV/atom
- Formation energy from the elements: -0.194 eV/atom

Cell lengths 5.3913, 5.3913, 5.6911 Å; angles 90.00, 90.00, 90.00 degrees
Fractional coordinates of all 5 atoms:
Pb (0.0000, 0.5000, 0.0000)
Pb (0.5000, 0.0000, 0.0000)
Tl (0.5000, 0.5000, 0.5000)
Sr (0.0000, 0.0000, 0.5000)
Pd (0.0000, 0.0000, 0.0000)

---

VASP calculation (PBE) on a relaxed NiAgOs2 crystal.

Results
- Energy: -7.065 eV/atom
- Formation energy from the elements: 0.708 eV/atom

Cell lengths 4.8760, 4.8760, 2.6804 Å; angles 90.00, 90.00, 115.53 degrees
Fractional coordinates of all 4 atoms:
Os (0.0000, 0.0000, 0.0000)
Ag (0.5000, 0.0000, 0.5000)
Os (0.5000, 0.5000, 0.0000)
Ni (0.0000, 0.5000, 0.5000)

---

VASP calculation (PBE) on a relaxed InAgGe crystal.

Results
- Energy: -3.235 eV/atom
- Formation energy from the elements: 0.167 eV/atom

Cell lengths 6.5438, 3.1155, 6.7650 Å; angles 104.16, 107.70, 89.90 degrees
Fractional coordinates of all 6 atoms:
Ge (0.1907, 0.9960, 0.2995)
Ge (0.4255, 0.3830, 0.1002)
Ag (0.7782, 0.0318, 0.3807)
In (0.0797, 0.7127, 0.7444)
In (0.5367, 0.6675, 0.6551)
Ag (0.8379, 0.3482, 0.0189)

---

VASP calculation (PBE) on a relaxed NbHgPd2 crystal.

Results
- Energy: -4.931 eV/atom
- Formation energy from the elements: 0.258 eV/atom

Cell lengths 7.3541, 7.3541, 5.9291 Å; angles 51.67, 51.67, 90.00 degrees
Fractional coordinates of all 8 atoms:
Nb (0.5000, 0.5000, 0.0000)
Hg (0.0000, 0.0000, 0.0000)
Pd (0.1497, 0.6250, 0.2500)
Hg (0.7500, 0.2500, 0.5000)
Pd (0.3750, 0.3997, 0.7500)
Nb (0.2500, 0.7500, 0.5000)
Pd (0.8750, 0.8503, 0.7500)
Pd (0.6003, 0.1250, 0.2500)